Mn3PdN, single point on PBEsol structure, DFT SCAN; E = -19.930 eV/atom; formation energy from raw total energies = -0.564 eV per atom; crystal system = cubic
1.0
3.8500 0.0000 0.0000
0.0000 3.8500 0.0000
0.0000 0.0000 3.8500
Mn Pd N
3 1 1
Direct
0.0000 0.5000 0.5000 Mn
0.5000 0.5000 0.0000 Mn
0.5000 0.0000 0.5000 Mn
0.0000 0.0000 0.0000 Pd
0.5000 0.5000 0.5000 N

CsMnAs, single point on PBEsol structure, DFT SCAN; E = -25.819 eV/atom; energy of formation from the pure elements = -1.20 eV/f.u.; crystal system = tetragonal
1.0
-0.5031 1.8220 3.3691
-3.6016 -1.3816 0.2093
4.1210 -9.8432 5.9387
Cs As Mn
2 2 2
Direct
0.5000 0.0000 0.7120 Cs
0.0000 0.5000 0.2880 Cs
0.5000 0.0000 0.1137 As
0.0000 0.5000 0.8863 As
0.5000 0.5000 0.0000 Mn
0.0000 0.0000 0.0000 Mn

RbTiNb3, single point on PBEsol structure, DFT SCAN; E = -24.522 eV/atom; energy of formation from the pure elements = 13.55 eV/f.u.; crystal system = cubic
1.0
4.7358 0.0000 0.0000
0.0000 4.7358 0.0000
0.0000 0.0000 4.7358
Nb Rb Ti
3 1 1
Direct
0.0000 0.5000 0.0000 Nb
0.0000 0.0000 0.5000 Nb
0.5000 0.0000 0.0000 Nb
0.0000 0.0000 0.0000 Rb
0.5000 0.5000 0.5000 Ti

Sr2TcRh, single point on PBEsol structure, DFT SCAN; E = -27.653 eV/atom; energy of formation from the pure elements = 2.77 eV/f.u.; crystal system = cubic
1.0
4.9954 0.0000 0.0000
2.4977 4.3261 0.0000
2.4977 1.4420 4.0787
Rh Sr Tc
1 2 1
Direct
0.5000 0.5000 0.5000 Rh
0.0000 0.0000 0.0000 Sr
0.7500 0.7500 0.7500 Sr
0.2500 0.2500 0.2500 Tc

CrGeBr2F, single point on PBEsol structure, DFT SCAN; E = -16.253 eV/atom; formation energy from raw total energies = -0.266 eV per atom; crystal system = tetragonal
1.0
-3.2393 -1.5136 -1.4617
0.3649 -4.2059 3.5466
-2.9813 2.8361 3.6701
Cr Ge Br F
1 1 2 1
Direct
0.5000 0.5000 0.5000 Cr
0.5000 0.0000 0.0000 Ge
0.0000 0.0000 0.5000 Br
0.0000 0.5000 0.0000 Br
0.0000 0.0000 0.0000 F

Ba2AgAs, single point on PBEsol structure, DFT SCAN; E = -33.335 eV/atom; energy of formation from the pure elements = -2.68 eV/f.u.; crystal system = tetragonal
1.0
-1.5620 4.3247 1.1406
-3.7530 -1.9246 2.1574
3.4032 -0.2690 5.6802
As Ba Ag
1 2 1
Direct
0.5000 0.5000 0.8754 As
0.0000 0.0000 0.8747 Ba
0.5000 0.5000 0.3754 Ba
0.0000 0.0000 0.3745 Ag

no.,M_tot (μB per formula unit)
1,10.6
2,2.6
3,1.4
4,3.3
5,5.0
6,0.0